No. 1
MgHgW2 after structural relaxation, computed with GGA-PBEsol.

Geometry as POSCAR:
```
MgHgW2
1.0
-2.308 -3.755 -1.186
1.996 0.249 4.109
-2.563 0.389 3.757
Mg W Hg
1 2 1
direct
0.750 0.500 0.750 Mg
0.250 0.500 0.250 W
0.000 0.000 0.000 W
0.500 0.000 0.500 Hg
```

As for the total energy: -6.866 eV/atom. As for the space-group type: No. 119.

***

No. 2
Mg2HgW after structural relaxation, computed with GGA-PBEsol.

Geometry as POSCAR:
```
Mg2HgW
1.0
2.837 0.000 0.022
0.000 4.858 0.000
-0.039 0.000 5.317
Hg Mg W
1 2 1
direct
0.375 0.500 0.765 Hg
0.876 0.500 0.294 Mg
0.875 0.000 0.971 Mg
0.375 0.000 0.470 W
```

As for the total energy: -4.051 eV/atom. As for the space-group type: No. 25.

***

No. 3
MgHg2W after structural relaxation, computed with GGA-PBEsol.

Geometry as POSCAR:
```
MgHg2W
1.0
-0.005 0.767 2.883
-0.512 -2.065 2.092
9.461 -2.299 2.173
Hg Mg W
2 1 1
direct
0.995 0.995 0.014 Hg
0.753 0.753 0.741 Hg
0.504 0.504 0.489 Mg
0.248 0.248 0.256 W
```

As for the total energy: -3.772 eV/atom. As for the space-group type: No. 160.

***

No. 4
MgHg2W after structural relaxation, computed with GGA-PBEsol.

Geometry as POSCAR:
```
MgHg2W
1.0
2.945 0.000 0.076
0.000 4.101 0.000
-0.146 0.000 6.057
Hg Mg W
2 1 1
direct
0.000 0.000 0.254 Hg
0.000 0.000 0.746 Hg
0.500 0.500 0.000 Mg
0.500 0.500 0.500 W
```

As for the total energy: -3.695 eV/atom. As for the space-group type: No. 10.